Record 1
Below is a relaxed Er2Se3 crystal, with properties calculated at the PBE level.

Calculated values
**E**: -5.73 eV per atom
**Total moment**: 0.00 μB per cell
**Formation energy from raw total energies**: -174.7 kJ per mole of atoms

The structure in CIF format:
```
data_Er2Se3
_symmetry_space_group_name_H-M 'I -4 2 d'
_symmetry_Int_Tables_number 122
_symmetry_space_group_name_Hall 'I -4 2bw'
_cell_length_a 8.634
_cell_length_b 8.634
_cell_length_c 25.913
_cell_angle_alpha 90.00
_cell_angle_beta 90.00
_cell_angle_gamma 90.00
loop_
_atom_site_label
_atom_site_type_symbol
_atom_site_fract_x
_atom_site_fract_y
_atom_site_fract_z
Er1 Er 0.000 0.000 0.165
Er2 Er 0.115 0.750 0.625
Er3 Er 0.134 0.739 0.961
Se1 Se 0.064 0.680 0.185
Se2 Se 0.069 0.683 0.856
Se3 Se 0.079 0.678 0.517
```



Record 2
Below is a relaxed Dy6Ho2Tm5 crystal, with properties calculated at the PBE level.

Calculated values
**E**: -4.45 eV per atom
**Total moment**: 0.00 μB per cell

The structure in CIF format:
```
data_Dy6Ho2Tm5
_symmetry_space_group_name_H-M 'P b a m'
_symmetry_Int_Tables_number 55
_symmetry_space_group_name_Hall '-P 2 2ab'
_cell_length_a 11.509
_cell_length_b 19.943
_cell_length_c 3.542
_cell_angle_alpha 90.00
_cell_angle_beta 90.00
_cell_angle_gamma 90.00
loop_
_atom_site_label
_atom_site_type_symbol
_atom_site_fract_x
_atom_site_fract_y
_atom_site_fract_z
Dy1 Dy 0.058 0.081 0.000
Dy2 Dy 0.084 0.368 0.000
Dy3 Dy 0.172 0.634 0.500
Ho1 Ho 0.165 0.790 0.000
Tm1 Tm 0.000 0.500 0.500
Tm2 Tm 0.093 0.226 0.500
Tm3 Tm 0.198 0.949 0.500
```



Record 3
Below is a relaxed Y3TiO crystal, with properties calculated at the PBE level.

Calculated values
**E**: -5.69 eV per atom
**Total moment**: 0.00 μB per cell
**Formation energy from raw total energies**: 73.2 kJ per mole of atoms
**Excess energy over the best structure of this formula in the dataset**: 1.776 eV/atom

The structure in CIF format:
```
data_Y3TiO
_symmetry_space_group_name_H-M 'P m -3 m'
_symmetry_Int_Tables_number 221
_symmetry_space_group_name_Hall '-P 4 2 3'
_cell_length_a 5.272
_cell_length_b 5.272
_cell_length_c 5.272
_cell_angle_alpha 90.00
_cell_angle_beta 90.00
_cell_angle_gamma 90.00
loop_
_atom_site_label
_atom_site_type_symbol
_atom_site_fract_x
_atom_site_fract_y
_atom_site_fract_z
Y1 Y 0.000 0.000 0.500
Ti1 Ti 0.000 0.000 0.000
O1 O 0.500 0.500 0.500
```



Record 4
Below is a relaxed PtSe2Cl crystal, with properties calculated at the PBE level.

Calculated values
**E**: -3.08 eV per atom
**Total moment**: 0.00 μB per cell
**Formation energy from raw total energies**: 61.5 kJ per mole of atoms
**Excess energy over the best structure of this formula in the dataset**: 0.982 eV/atom

The structure in CIF format:
```
data_PtSe2Cl
_symmetry_space_group_name_H-M 'I -4 m 2'
_symmetry_Int_Tables_number 119
_symmetry_space_group_name_Hall 'I -4 -2'
_cell_length_a 4.759
_cell_length_b 4.759
_cell_length_c 6.567
_cell_angle_alpha 90.00
_cell_angle_beta 90.00
_cell_angle_gamma 90.00
loop_
_atom_site_label
_atom_site_type_symbol
_atom_site_fract_x
_atom_site_fract_y
_atom_site_fract_z
Pt1 Pt 0.000 0.000 0.000
Se1 Se 0.000 0.000 0.500
Se2 Se 0.000 0.500 0.250
Cl1 Cl 0.000 0.500 0.750
```



- Number 2 is which compound?
  Dy6Ho2Tm5



- E of number 3 (Y3TiO)?
  -5.69 eV per atom